1.
Crystalline Ba3Pa2N2O5 at its relaxed geometry. Source: the Alexandria database, functional PBE-GGA.

## Properties
The magnetization is 0.00 μB/f.u. For the formation energy without anion corrections, the calculation gives -253 kJ per mole of atoms.

Lattice parameters (Å, degrees): 11.7749 11.7749 11.7749 158.06 158.06 31.22
With the nearest neighbours (Å) after each atom.
Fractional coordinates of all 12 atoms:
Ba (0.0000, 0.0000, 0.0000)  12 O 3.04-3.17
Ba (0.1912, 0.1912, 0.0000)  1 N 2.68
Ba (0.8088, 0.8088, 0.0000)  1 N 2.68
Pa (0.4010, 0.4010, 0.0000)  1 N 2.07, 5 O 2.25
Pa (0.5990, 0.5990, 0.0000)  1 N 2.07, 5 O 2.25
N (0.3095, 0.3095, 0.0000)  1 Pa 2.07
N (0.6905, 0.6905, 0.0000)  1 Pa 2.07
O (0.0908, 0.5908, 0.5000)  2 Pa 2.25
O (0.4092, 0.9092, 0.5000)  2 Pa 2.25
O (0.5000, 0.5000, 0.0000)  2 Pa 2.25
O (0.5908, 0.0908, 0.5000)  2 Pa 2.25
O (0.9092, 0.4092, 0.5000)  2 Pa 2.25

***

2.
Crystalline Tb8Ni2Rh at its relaxed geometry. Source: the Alexandria database, functional PBE-GGA.

## Properties
The magnetization is 0.00 μB/f.u. As for the total energy: -5.387 eV/atom.

Lattice parameters (Å, degrees): 8.9480 8.9480 6.6274 104.11 104.11 32.67
With the nearest neighbours (Å) after each atom.
Fractional coordinates of all 11 atoms:
Tb (0.0373, 0.0373, 0.2893)  1 Ni 2.75, 2 Rh 3.02
Tb (0.2012, 0.2012, 0.8317)  1 Ni 2.69
Tb (0.3293, 0.3293, 0.5211)  1 Ni 2.67, 1 Rh 2.97
Tb (0.4100, 0.4100, 0.0533)  1 Rh 2.97
Tb (0.5900, 0.5900, 0.9467)  1 Rh 2.97
Tb (0.6707, 0.6707, 0.4789)  1 Ni 2.67, 1 Rh 2.97
Tb (0.7988, 0.7988, 0.1683)  1 Ni 2.69
Tb (0.9627, 0.9627, 0.7107)  1 Ni 2.75, 2 Rh 3.02
Ni (0.1898, 0.1898, 0.2292)  3 Tb 2.67-2.75
Ni (0.8102, 0.8102, 0.7708)  3 Tb 2.67-2.75
Rh (0.5000, 0.5000, 0.5000)  8 Tb 2.97-3.02

***

3.
Crystalline KLi3Ru at its relaxed geometry. Source: the Alexandria database, functional PBE-GGA.

## Properties
The magnetization is 0.00 μB/f.u. As for the total energy: -1.941 eV/atom.

Lattice parameters (Å, degrees): 4.4544 4.4544 4.4544 90.00 90.00 90.00
With the nearest neighbours (Å) after each atom.
Fractional coordinates of all 5 atoms:
K (0.0000, 0.0000, 0.0000)  6 Li 2.23
Li (0.0000, 0.0000, 0.5000)  2 K 2.23
Li (0.0000, 0.5000, 0.0000)  2 K 2.23
Li (0.5000, 0.0000, 0.0000)  2 K 2.23
Ru (0.5000, 0.5000, 0.5000)  12 Li 3.15